Here is an optimized crystal structure of CaBe3Ir from Alexandria. Energies are from PBEsol.

The calculation puts the energy of formation from the pure elements at -4.1 kcal/mol of atoms.

It has space group Pm-3m (No. 221), with a = 4.288 Å, b = 4.288 Å, c = 4.288 Å, α = 90.00°, β = 90.00° and γ = 90.00°. The asymmetric unit holds Ca at (0.000, 0.000, 0.000), Be at (0.000, 0.500, 0.500) and Ir at (0.500, 0.500, 0.500).


Here is an optimized crystal structure of CaBeIr from Alexandria. Energies are from PBEsol.

The calculation puts the energy of formation from the pure elements at 27.2 kcal/mol of atoms.

It has space group F-43m (No. 216), with a = 6.211 Å, b = 6.211 Å, c = 6.211 Å, α = 90.00°, β = 90.00° and γ = 90.00°. The asymmetric unit holds Ca at (0.000, 0.000, 0.000), Be at (0.250, 0.250, 0.250) and Ir at (0.250, 0.250, 0.750).


Here is an optimized crystal structure of Ca2BeIr from Alexandria. Energies are from PBEsol.

The calculation puts the energy of formation from the pure elements at -7.8 kcal/mol of atoms.

It has space group Cm (No. 8), with a = 6.758 Å, b = 3.907 Å, c = 7.739 Å, α = 90.00°, β = 106.70° and γ = 90.00°. The asymmetric unit holds Ca at (0.000, 0.000, 0.000), Ca at (0.169, 0.000, 0.514), Be at (0.418, 0.000, 0.257) and Ir at (0.252, 0.500, 0.257).